(1)
Crystalline Zr5NbZn4 at its relaxed geometry, computed with GGA-PBE.

Summary:
Energy of formation from the pure elements ... -0.209 eV/atom

Structure (POSCAR):
```
Zr5NbZn4
1.0
3.393 0.000 0.000
0.000 3.393 0.000
0.000 0.000 16.617
Zr Nb Zn
5 1 4
Cartesian
0.000 0.000 0.000
0.000 0.000 3.282
0.000 0.000 6.595
0.000 0.000 10.022
0.000 0.000 13.335
1.697 1.697 8.308
1.697 1.697 1.637
1.697 1.697 4.932
1.697 1.697 11.685
1.697 1.697 14.979
```

(2)
Crystalline Zr3NbZn4 at its relaxed geometry, computed with GGA-PBE.

Summary:
Energy of formation from the pure elements ... -0.183 eV/atom

Structure (POSCAR):
```
Zr3NbZn4
1.0
3.421 0.000 0.000
0.000 3.421 0.000
0.000 0.000 12.359
Zr Nb Zn
3 1 4
Cartesian
0.000 0.000 0.000
0.000 0.000 3.231
0.000 0.000 9.128
0.000 0.000 6.180
1.710 1.710 1.629
1.710 1.710 4.795
1.710 1.710 7.564
1.710 1.710 10.730
```

(3)
Crystalline ZrNbZn3 at its relaxed geometry, computed with GGA-PBE.

Summary:
Energy above the lowest structure with this stoichiometry ... 0 kJ/mol of formula units
Energy of formation from the pure elements ... 0.911 eV/atom

Structure (POSCAR):
```
ZrNbZn3
1.0
4.806 0.000 0.000
0.000 4.806 0.000
0.000 0.000 4.806
Zr Nb Zn
1 1 3
Cartesian
0.000 0.000 0.000
2.403 2.403 2.403
0.000 2.403 2.403
2.403 0.000 2.403
2.403 2.403 0.000
```

(4)
Crystalline ZrNb2Zn6 at its relaxed geometry, computed with GGA-PBE.

Summary:
Energy of formation from the pure elements ... -0.105 eV/atom

Structure (POSCAR):
```
ZrNb2Zn6
1.0
7.436 0.000 0.000
-3.718 6.440 0.000
0.000 0.000 3.051
Zr Nb Zn
1 2 6
Cartesian
0.000 0.000 0.000
0.000 4.293 0.000
3.718 2.147 0.000
-1.251 2.167 1.525
-2.467 4.273 1.525
2.502 0.000 1.525
1.251 2.167 1.525
4.934 0.000 1.525
2.467 4.273 1.525
```

(5)
Crystalline Zr2NbZn at its relaxed geometry, computed with GGA-PBE.

Summary:
Energy of formation from the pure elements ... 0.415 eV/atom

Structure (POSCAR):
```
Zr2NbZn
1.0
-2.033 2.033 10.038
2.033 -2.033 10.038
2.033 2.033 -10.038
Zr Nb Zn
4 2 2
Cartesian
3.049 0.999 -2.509
0.999 1.016 2.509
-1.016 1.034 7.528
1.034 1.016 12.547
0.000 0.000 0.000
0.000 2.033 5.019
2.033 0.000 5.019
0.000 0.000 10.038
```

(6)
Crystalline Zr2NbZn2 at its relaxed geometry, computed with GGA-PBE.

Summary:
Energy above the lowest structure with this stoichiometry ... 0 kJ/mol of formula units
Energy of formation from the pure elements ... -0.059 eV/atom

Structure (POSCAR):
```
Zr2NbZn2
1.0
7.544 0.000 0.000
0.000 7.544 0.000
0.000 0.000 3.317
Zr Nb Zn
4 2 4
Cartesian
1.363 2.408 0.000
2.408 6.180 0.000
5.135 1.363 0.000
6.180 5.135 0.000
0.000 0.000 1.658
3.772 3.772 1.658
0.895 4.667 1.658
2.877 0.895 1.658
4.667 6.649 1.658
6.649 2.877 1.658
```

(7)
Crystalline ZrNbZn at its relaxed geometry, computed with GGA-PBE.

Summary:
Energy above the lowest structure with this stoichiometry ... 43 kJ/mol of formula units
Energy of formation from the pure elements ... 0.109 eV/atom

Structure (POSCAR):
```
ZrNbZn
1.0
4.875 0.000 0.000
-2.438 4.222 0.000
0.000 0.000 2.730
Zr Nb Zn
1 1 1
Cartesian
0.000 0.000 0.000
0.000 2.815 1.121
2.438 1.407 1.763
```

(8)
Crystalline ZrNb5 at its relaxed geometry, computed with GGA-PBE.

Summary:
Energy above the lowest structure with this stoichiometry ... 2 kJ/mol of formula units
Energy of formation from the pure elements ... 0.027 eV/atom

Structure (POSCAR):
```
ZrNb5
1.0
2.415 -7.031 0.000
2.415 7.031 0.000
0.000 0.000 3.349
Zr Nb
1 5
Cartesian
0.000 0.000 0.000
2.415 4.560 1.675
2.415 2.327 0.000
2.415 0.000 1.675
2.415 -2.327 0.000
2.415 -4.560 1.675
```